No. 1
Ca3Zn4Sn2 | PBE | relaxed

Cell lengths 10.9424, 4.6321, 8.9871 Å; angles 90.00, 112.22, 90.00 degrees
With the nearest neighbours (Å) after each atom.
Space group C2/m (No. 12)
Symmetry-distinct sites (fractional):
Ca 0.0000 0.0000 0.0000 [2 per cell]  8 Zn 3.23-3.55, 4 Sn 3.32
Ca 0.1601 0.5000 0.6743 [4 per cell]  8 Zn 3.10-3.34, 4 Sn 3.24-3.38
Zn 0.0755 0.0000 0.4201 [4 per cell]  1 Zn 2.57, 2 Sn 2.76
Zn 0.2185 0.5000 0.0393 [4 per cell]  2 Zn 2.59, 1 Sn 2.77
Sn 0.1207 0.5000 0.2822 [4 per cell]  3 Zn 2.76-2.77

Output
Calculated formation energy = -0.4293 eV per atom

=====

No. 2
PrAl3Re | PBE | relaxed

Cell lengths 4.7929, 4.7929, 4.7929 Å; angles 90.00, 90.00, 90.00 degrees
With the nearest neighbours (Å) after each atom.
Space group Pm-3m (No. 221)
Symmetry-distinct sites (fractional):
Pr 0.0000 0.0000 0.0000 [1 per cell]  12 Al 3.39
Al 0.0000 0.5000 0.5000 [3 per cell]  2 Re 2.40
Re 0.5000 0.5000 0.5000 [1 per cell]  6 Al 2.40

Output
Calculated formation energy = -0.2270 eV per atom

=====

Copy entry 2 word for word.
PrAl3Re | PBE | relaxed

Cell lengths 4.7929, 4.7929, 4.7929 Å; angles 90.00, 90.00, 90.00 degrees
With the nearest neighbours (Å) after each atom.
Space group Pm-3m (No. 221)
Symmetry-distinct sites (fractional):
Pr 0.0000 0.0000 0.0000 [1 per cell]  12 Al 3.39
Al 0.0000 0.5000 0.5000 [3 per cell]  2 Re 2.40
Re 0.5000 0.5000 0.5000 [1 per cell]  6 Al 2.40

Output
Calculated formation energy = -0.2270 eV per atom